No. 1
CsZrV2Cr | PBE | optimized geometry

Output
Energy of formation from the pure elements = 126.1 kJ/mol of atoms
Electronic total energy = -6.1453 eV/atom
V = 119 Å³/f.u.

a = 4.8562 Å, b = 5.0284 Å, c = 4.8562 Å
α = 90.00°, β = 90.00°, γ = 90.00°
Last column: magnetic moment on the atom in μB.
Atoms (fractional coordinates):
Cs (0.5000, 0.5000, 0.5000)  0.09
Cr (0.0000, 0.0000, 0.0000)  -1.45
Zr (0.0000, 0.5000, 0.0000)  -0.05
V (0.0000, 0.0000, 0.5000)  1.81
V (0.5000, 0.0000, 0.0000)  2.35

=====

No. 2
CsCr3W | PBE | optimized geometry

Output
Energy of formation from the pure elements = 151.0 kJ/mol of atoms
Electronic total energy = -6.9702 eV/atom
Energy above the lowest structure with this stoichiometry = 0.00 eV/f.u.
V = 126 Å³/f.u.

a = 5.0156 Å, b = 5.0156 Å, c = 5.0156 Å
α = 90.00°, β = 90.00°, γ = 90.00°
Last column: magnetic moment on the atom in μB.
Atoms (fractional coordinates):
Cs (0.5000, 0.5000, 0.5000)  0.07
Cr (0.0000, 0.5000, 0.0000)  3.16
Cr (0.0000, 0.0000, 0.5000)  2.95
Cr (0.5000, 0.0000, 0.0000)  3.36
W (0.0000, 0.0000, 0.0000)  -1.34

=====

No. 3
CsCr3W | PBE | optimized geometry

Output
Energy of formation from the pure elements = 308.4 kJ/mol of atoms
Electronic total energy = -5.3394 eV/atom
Energy above the lowest structure with this stoichiometry = 8.15 eV/f.u.
V = 113 Å³/f.u.

a = 4.8358 Å, b = 4.8358 Å, c = 4.8358 Å
α = 90.00°, β = 90.00°, γ = 90.00°
Last column: magnetic moment on the atom in μB.
Atoms (fractional coordinates):
Cs (0.0000, 0.0000, 0.0000)  0.07
Cr (0.0000, 0.5000, 0.0000)  3.16
Cr (0.0000, 0.0000, 0.5000)  3.03
Cr (0.5000, 0.0000, 0.0000)  3.16
W (0.5000, 0.5000, 0.5000)  -2.47

=====

No. 4
CsZnCr3 | PBE | optimized geometry

Output
Energy of formation from the pure elements = 250.2 kJ/mol of atoms
Electronic total energy = -3.6069 eV/atom
V = 146 Å³/f.u.

a = 5.2715 Å, b = 5.2715 Å, c = 5.2715 Å
α = 90.00°, β = 90.00°, γ = 90.00°
Last column: magnetic moment on the atom in μB.
Atoms (fractional coordinates):
Cs (0.0000, 0.0000, 0.0000)  0.15
Cr (0.0000, 0.5000, 0.0000)  3.85
Cr (0.0000, 0.0000, 0.5000)  3.76
Cr (0.5000, 0.0000, 0.0000)  4.01
Zn (0.5000, 0.5000, 0.5000)  -0.01

=====

No. 5
Cs3ZnCr | PBE | optimized geometry

Output
Energy of formation from the pure elements = 70.3 kJ/mol of atoms
Electronic total energy = -1.9631 eV/atom
Energy above the lowest structure with this stoichiometry = 0.00 eV/f.u.
V = 355 Å³/f.u.

a = 7.0796 Å, b = 7.0796 Å, c = 7.0796 Å
α = 90.00°, β = 90.00°, γ = 90.00°
Last column: magnetic moment on the atom in μB.
Atoms (fractional coordinates):
Cs (0.0000, 0.5000, 0.0000)  0.01
Cs (0.0000, 0.0000, 0.5000)  0.01
Cs (0.5000, 0.0000, 0.0000)  0.01
Zn (0.0000, 0.0000, 0.0000)  0.01
Cr (0.5000, 0.5000, 0.5000)  4.31

=====

No. 6
Cs3ZrCr | PBE | optimized geometry

Output
Energy of formation from the pure elements = 142.3 kJ/mol of atoms
Electronic total energy = -2.6712 eV/atom
Energy above the lowest structure with this stoichiometry = 0.00 eV/f.u.
V = 369 Å³/f.u.

a = 7.1723 Å, b = 7.1723 Å, c = 7.1723 Å
α = 90.00°, β = 90.00°, γ = 90.00°
Last column: magnetic moment on the atom in μB.
Atoms (fractional coordinates):
Cs (0.0000, 0.5000, 0.0000)  0.04
Cs (0.0000, 0.0000, 0.5000)  0.04
Cs (0.5000, 0.0000, 0.0000)  0.04
Cr (0.0000, 0.0000, 0.0000)  4.27
Zr (0.5000, 0.5000, 0.5000)  1.72

=====

No. 7
CsZr3Cr | PBE | optimized geometry

Output
Energy of formation from the pure elements = 92.1 kJ/mol of atoms
Electronic total energy = -6.2700 eV/atom
V = 134 Å³/f.u.

a = 5.1228 Å, b = 5.1228 Å, c = 5.1228 Å
α = 90.00°, β = 90.00°, γ = 90.00°
Last column: magnetic moment on the atom in μB.
Atoms (fractional coordinates):
Cs (0.5000, 0.5000, 0.5000)  0.01
Cr (0.0000, 0.0000, 0.0000)  0.69
Zr (0.0000, 0.5000, 0.0000)  0.03
Zr (0.0000, 0.0000, 0.5000)  -0.04
Zr (0.5000, 0.0000, 0.0000)  0.06

=====

No. 8
Cr3Cu | PBE | optimized geometry

Output
Energy of formation from the pure elements = 26.0 kJ/mol of atoms
Electronic total energy = -7.9725 eV/atom
V = 47 Å³/f.u.

a = 3.5979 Å, b = 3.5979 Å, c = 3.5979 Å
α = 90.00°, β = 90.00°, γ = 90.00°
Atoms (fractional coordinates):
Cr (0.0000, 0.5000, 0.5000)
Cr (0.5000, 0.0000, 0.5000)
Cr (0.5000, 0.5000, 0.0000)
Cu (0.0000, 0.0000, 0.0000)